A geometry-optimized PrPd3 structure, computed with PBE-GGA.

POSCAR file:
```
PrPd3
1.0
4.2212 0.0000 0.0000
0.0000 4.2242 0.0000
0.0000 0.0000 4.2230
Pd Pr
3 1
Direct
0.0000 0.0000 0.9167 Pd
0.5000 0.0000 0.4167 Pd
0.5000 0.5000 0.9167 Pd
0.0000 0.5000 0.4166 Pr
```

Summary:
The energy of formation from the pure elements comes out at -0.734 eV/atom.